Here is a geometry-optimized TaInCu structure from the Alexandria database. Energies are from PBE.

Results
For the calculated total energy, the calculation gives -5.814 eV/atom. The value obtained for the density of states at the Fermi level is 0.7100 states/eV/atom. The formation enthalpy at 0 K comes out at 9.58 kcal/mol of atoms.

a = 6.082 Å, b = 6.082 Å, c = 6.082 Å
α = 90.00°, β = 90.00°, γ = 90.00°
Positions (direct):
Ta 0.000 0.000 0.000
Ta 0.000 0.500 0.500
Ta 0.500 0.000 0.500
Ta 0.500 0.500 0.000
In 0.000 0.000 0.500
In 0.000 0.500 0.000
In 0.500 0.000 0.000
In 0.500 0.500 0.500
Cu 0.250 0.250 0.250
Cu 0.250 0.750 0.750
Cu 0.750 0.250 0.750
Cu 0.750 0.750 0.250